(1)
Compound: Ag2IrW
Source: Alexandria
Functional: GGA-PBEsol
Structure: relaxed

Output
* energy: -6.980 eV per atom
* E_form: 0.58 eV/atom
* crystal system: tetragonal

Cell lengths 3.7098, 3.7098, 4.5806 Å; angles 90.00, 90.00, 90.00 degrees
Fractional positions:
Ir  0.5000  0.5000  0.5000
Ag  0.0000  0.5000  0.0000
Ag  0.5000  0.0000  0.0000
W  0.0000  0.0000  0.5000

(2)
Compound: Y2AgIr
Source: Alexandria
Functional: GGA-PBEsol
Structure: relaxed

Output
* energy: -7.028 eV per atom
* E_form: -0.33 eV/atom
* crystal system: tetragonal

Cell lengths 4.1738, 4.1738, 5.5413 Å; angles 112.12, 112.12, 90.00 degrees
Fractional positions:
Ag  0.5000  0.5000  0.0000
Ir  0.2500  0.7500  0.5000
Y  0.0000  0.0000  0.0000
Y  0.7500  0.2500  0.5000

(3)
Compound: Y2AgIr
Source: Alexandria
Functional: GGA-PBEsol
Structure: relaxed

Output
* energy: -7.287 eV per atom
* E_form: -0.59 eV/atom
* crystal system: cubic

Cell lengths 4.8992, 4.8992, 4.8992 Å; angles 60.00, 60.00, 60.00 degrees
Fractional positions:
Y  0.2500  0.2500  0.2500
Y  0.7500  0.7500  0.7500
Ir  0.5000  0.5000  0.5000
Ag  0.0000  0.0000  0.0000